Entry from Alexandria: Nd6TlIr2I3 after structural relaxation (GGA-PBE).

Calculated values
The calculation puts the calculated total energy at -5.292 eV/atom. The density of states at the Fermi level is 6.4 states/eV/cell. For the magnetic moment, the calculation gives 0.000 μB/f.u. The volume comes out at 32.93 Å³/atom. The value obtained for the formation energy from raw total energies is -847 meV/atom.

Unit cell a=4.2475 b=9.6012 c=10.4748 alpha=108.72 beta=101.70 gamma=90.00
Fractional positions:
Nd  0.3363  0.8577  0.6725
Nd  0.6839  0.5571  0.3677
Nd  0.6637  0.1423  0.3275
Nd  0.0276  0.2556  0.0551
Nd  0.9724  0.7444  0.9449
Nd  0.3161  0.4429  0.6323
Tl  0.5000  0.0000  0.0000
Ir  0.8296  0.6545  0.6592
Ir  0.1704  0.3455  0.3408
I  0.5000  0.5000  0.0000
I  0.8375  0.1588  0.6749
I  0.1625  0.8412  0.3251